Cr4B2Mo: relaxed, PBE-GGA.

The crystal system is orthorhombic. The density of states at the Fermi level comes out at 10.5 states/eV/cell. The value obtained for the uncorrected energy is -63.61 eV/f.u.

The space group is Cmmm (No. 65) and the conventional cell measures 3.669, 13.532 and 2.951 Å, with angles of 90.00, 90.00 and 90.00 degrees. The asymmetric unit holds Cr at (0.000, 0.171, 0.000), Cr at (0.000, 0.325, 0.500), B at (0.000, 0.437, 0.000) and Mo at (0.000, 0.000, 0.500).

***

CrB2Mo: relaxed, PBE-GGA.

The crystal system is tetragonal. The value obtained for the excess energy over the best structure of this formula in the dataset is 1.407 eV per atom. The density of states at the Fermi level comes out at 23.6 states/eV/cell. The value obtained for the uncorrected energy is -30.13 eV/f.u.

The space group is I-42d (No. 122) and the conventional cell measures 4.648, 4.648 and 9.567 Å, with angles of 90.00, 90.00 and 90.00 degrees. The asymmetric unit holds Cr at (0.000, 0.000, 0.000), B at (0.227, 0.250, 0.125) and Mo at (0.000, 0.000, 0.500).

***

CrBMo: relaxed, PBE-GGA.

The crystal system is tetragonal. The density of states at the Fermi level comes out at 2.5 states/eV/cell. The value obtained for the uncorrected energy is -26.85 eV/f.u.

The space group is I4mm (No. 107) and the conventional cell measures 2.860, 2.860 and 8.231 Å, with angles of 90.00, 90.00 and 90.00 degrees. The asymmetric unit holds Cr at (0.000, 0.000, 0.000), B at (0.000, 0.000, 0.606) and Mo at (0.000, 0.000, 0.283).

***

Cr2BMo: relaxed, PBE-GGA.

The crystal system is tetragonal. The density of states at the Fermi level comes out at 13.9 states/eV/cell. The value obtained for the uncorrected energy is -35.58 eV/f.u.

The space group is I-42d (No. 122) and the conventional cell measures 6.646, 6.646 and 4.382 Å, with angles of 90.00, 90.00 and 90.00 degrees. The asymmetric unit holds Cr at (0.157, 0.250, 0.125), B at (0.000, 0.000, 0.000) and Mo at (0.000, 0.000, 0.500).

***

CrBMo2: relaxed, PBE-GGA.

The crystal system is monoclinic. The density of states at the Fermi level comes out at 5.7 states/eV/cell. The value obtained for the uncorrected energy is -38.20 eV/f.u.

The space group is P2_1/m (No. 11) and the conventional cell measures 5.038, 3.032 and 6.679 Å, with angles of 90.00, 102.64 and 90.00 degrees. The asymmetric unit holds Cr at (0.070, 0.250, 0.352), B at (0.272, 0.750, 0.210), Mo at (0.227, 0.250, 0.956) and Mo at (0.394, 0.750, 0.637).

***

CrB3Mo: relaxed, PBE-GGA.

The crystal system is cubic. The value obtained for the excess energy over the best structure of this formula in the dataset is 2.029 eV per atom. The density of states at the Fermi level comes out at 13.3 states/eV/cell. The value obtained for the uncorrected energy is -32.35 eV/f.u.

The space group is Pm-3m (No. 221) and the conventional cell measures 4.004, 4.004 and 4.004 Å, with angles of 90.00, 90.00 and 90.00 degrees. The asymmetric unit holds Cr at (0.000, 0.000, 0.000), B at (0.000, 0.500, 0.500) and Mo at (0.500, 0.500, 0.500).

***

Cr3BMo: relaxed, PBE-GGA.

The crystal system is cubic. The value obtained for the excess energy over the best structure of this formula in the dataset is 2.244 eV per atom. The density of states at the Fermi level comes out at 10.3 states/eV/cell. The value obtained for the uncorrected energy is -33.87 eV/f.u.

The space group is Pm-3m (No. 221) and the conventional cell measures 4.393, 4.393 and 4.393 Å, with angles of 90.00, 90.00 and 90.00 degrees. The asymmetric unit holds Cr at (0.000, 0.000, 0.500), B at (0.500, 0.500, 0.500) and Mo at (0.000, 0.000, 0.000).

***

CrBMo2Os: relaxed, PBE-GGA.

The crystal system is tetragonal. The density of states at the Fermi level comes out at 6.4 states/eV/cell. The value obtained for the uncorrected energy is -40.21 eV/f.u.

The space group is P4/mmm (No. 123) and the conventional cell measures 4.777, 4.777 and 3.896 Å, with angles of 90.00, 90.00 and 90.00 degrees. The asymmetric unit holds Cr at (0.000, 0.000, 0.000), B at (0.500, 0.500, 0.000), Mo at (0.000, 0.500, 0.500) and Os at (0.500, 0.500, 0.500).

***

Question: What is the uncorrected energy in the seventh record?
Answer: -33.87 eV/f.u.